(1)
The following is a DFT calculation (PBE) of Ti2InSeBr after structural relaxation.

space-group type: P4/mmm
crystal system: tetragonal
ΔE_f (raw): 0.9255 eV/atom

abc: 5.3768 5.1723 5.3768
angles: 90.00 90.00 90.00
Atoms (fractional coordinates):
In: 0.0000 0.0000 0.0000
Ti: 0.5000 0.0000 0.0000
Se: 0.5000 0.5000 0.5000
Br: 0.0000 0.5000 0.0000
Ti: 0.0000 0.0000 0.5000

(2)
The following is a DFT calculation (PBE) of MnSi4Ru after structural relaxation.

space-group type: F-43m
crystal system: cubic
ΔE_f (raw): 0.3787 eV/atom

abc: 4.8435 4.8435 4.8435
angles: 60.00 60.00 60.00
Atoms (fractional coordinates):
Mn: 0.2500 0.2500 0.2500
Si: 0.6251 0.6251 0.6251
Si: 0.6251 0.1247 0.6251
Si: 0.1247 0.6251 0.6251
Si: 0.6251 0.6251 0.1247
Ru: 0.0000 0.0000 0.0000

(3)
The following is a DFT calculation (PBE) of Ho4PSe2Cl after structural relaxation.

space-group type: P2/m
crystal system: monoclinic
ΔE_f (raw): -1.5983 eV/atom

abc: 3.9924 6.9824 6.9732
angles: 71.06 90.00 90.00
Atoms (fractional coordinates):
Ho: 0.5000 0.7315 0.2762
Se: 0.0000 0.0000 0.0000
Ho: 0.0000 0.7471 0.7263
Cl: 0.5000 0.5000 0.0000
Ho: 0.5000 0.2685 0.7238
Ho: 0.0000 0.2529 0.2736
P: 0.0000 0.5000 0.5000
Se: 0.5000 0.0000 0.5000

(4)
The following is a DFT calculation (PBE) of Rb2PtI8 after structural relaxation.

space-group type: C2/m
crystal system: monoclinic
ΔE_f (raw): -0.5258 eV/atom

abc: 7.0405 9.4909 9.4909
angles: 78.40 68.40 68.40
Atoms (fractional coordinates):
I: 0.7514 0.8275 0.1708
Rb: 0.7406 0.7608 0.7608
Rb: 0.2594 0.2392 0.2392
I: 0.2113 0.7900 0.7900
I: 0.2486 0.1725 0.8292
I: 0.2486 0.8292 0.1725
Pt: 0.0000 0.0000 0.0000
I: 0.7887 0.2100 0.2100
I: 0.2498 0.4999 0.4999
I: 0.7502 0.5001 0.5001
I: 0.7514 0.1708 0.8275

(5)
The following is a DFT calculation (PBE) of CuRe3 after structural relaxation.

space-group type: Fm-3m
crystal system: cubic
energy of formation: 0.3430 eV/atom

abc: 4.3428 4.3428 4.3428
angles: 60.00 60.00 60.00
Atoms (fractional coordinates):
Cu: 0.0000 0.0000 0.0000
Re: 0.7500 0.7500 0.7500
Re: 0.5000 0.5000 0.5000
Re: 0.2500 0.2500 0.2500

(6)
The following is a DFT calculation (PBE) of ZrSiAs2 after structural relaxation.

space-group type: Cmm2
crystal system: orthorhombic
ΔE_f (raw): -0.1506 eV/atom

abc: 3.1927 3.1927 8.1270
angles: 90.00 90.00 104.20
Atoms (fractional coordinates):
Zr: 0.5000 0.5000 0.7258
As: 0.0000 0.0000 0.9630
As: 0.5000 0.5000 0.3146
Si: 0.0000 0.0000 0.4966

no.,DOS(E_F) (states/eV per cell)
1,10.98
2,3.71
3,3.43
4,3.62
5,2.88
6,1.66